1.
K4Ce3AgS8: optimized geometry, PBE.

Computed properties:
E_form (uncorrected) (eV/atom): -1.514
M_tot (μB per formula unit): 1.11
E_tot (Ry per atom): -0.3780
V (Å³/cell): 434.6

a = 8.2794 Å, b = 8.7415 Å, c = 8.2812 Å
α = 118.27°, β = 119.99°, γ = 90.00°
Last column: magnetic moment on the atom in μB.
Fractional positions:
K (0.5000, 0.0000, 0.0000)  0.00
K (0.5000, 0.0000, 0.5000)  0.00
K (0.0000, 0.0000, 0.0000)  0.00
K (0.0000, 0.0000, 0.5000)  0.00
Ce (0.5000, 0.5000, 0.0000)  0.42
Ce (0.5000, 0.5000, 0.5000)  0.42
Ce (0.0000, 0.5000, 0.5000)  0.42
Ag (0.0000, 0.5000, 0.0000)  -0.01
S (0.2410, 0.7019, 0.9607)  -0.02
S (0.2414, 0.7022, 0.4827)  -0.02
S (0.2647, 0.2939, 0.5294)  -0.01
S (0.7197, 0.7019, 0.9607)  -0.02
S (0.2803, 0.2981, 0.0393)  -0.02
S (0.7353, 0.7061, 0.4706)  -0.01
S (0.7586, 0.2978, 0.5173)  -0.02
S (0.7590, 0.2981, 0.0393)  -0.02

---

2.
Li3La2ZnCu12: optimized geometry, PBE.

Computed properties:
Energy of formation from the pure elements (eV/atom): 0.11
M_tot (μB per formula unit): 0.00
E_tot (Ry per atom): -0.2618
V (Å³/cell): 294.8

a = 9.8427 Å, b = 9.8427 Å, c = 9.8427 Å
α = 36.01°, β = 36.01°, γ = 36.01°
Fractional positions:
Li (0.5000, 0.0000, 0.0000)
Li (0.0000, 0.5000, 0.0000)
Li (0.0000, 0.0000, 0.5000)
La (0.6479, 0.6479, 0.6479)
La (0.3521, 0.3521, 0.3521)
Zn (0.0000, 0.0000, 0.0000)
Cu (0.4172, 0.4172, 0.8106)
Cu (0.9297, 0.9297, 0.3556)
Cu (0.3556, 0.9297, 0.9297)
Cu (0.8106, 0.4172, 0.4172)
Cu (0.9297, 0.3556, 0.9297)
Cu (0.4172, 0.8106, 0.4172)
Cu (0.5828, 0.5828, 0.1894)
Cu (0.0703, 0.0703, 0.6444)
Cu (0.6444, 0.0703, 0.0703)
Cu (0.1894, 0.5828, 0.5828)
Cu (0.0703, 0.6444, 0.0703)
Cu (0.5828, 0.1894, 0.5828)

---

3.
Ac2SiSnPt6: optimized geometry, PBE.

Computed properties:
E_form (uncorrected) (eV/atom): -0.856
M_tot (μB per formula unit): 0.00
E_tot (Ry per atom): -0.4590
V (Å³/cell): 225.6

a = 7.2434 Å, b = 6.5823 Å, c = 6.8588 Å
α = 63.43°, β = 56.21°, γ = 91.59°
Fractional positions:
Ac (0.7690, 0.2296, 0.5488)
Ac (0.2310, 0.7704, 0.4512)
Si (0.0000, 0.0000, 0.0000)
Sn (0.5000, 0.5000, 0.0000)
Pt (0.3504, 0.2305, 0.5178)
Pt (0.7732, 0.6673, 0.0767)
Pt (0.2330, 0.7522, 0.9432)
Pt (0.7670, 0.2478, 0.0568)
Pt (0.2268, 0.3327, 0.9233)
Pt (0.6496, 0.7695, 0.4822)

---

4.
Rb2Sn4Hg3Bi: optimized geometry, PBE.

Computed properties:
Energy of formation from the pure elements (eV/atom): -0.13
M_tot (μB per formula unit): 0.00
E_tot (Ry per atom): -0.1769
V (Å³/cell): 330.9

a = 5.2082 Å, b = 5.2082 Å, c = 12.1970 Å
α = 90.00°, β = 90.00°, γ = 90.00°
Fractional positions:
Rb (0.5000, 0.0000, 0.2503)
Rb (0.0000, 0.5000, 0.7497)
Sn (0.5000, 0.5000, 0.0000)
Sn (0.0000, 0.0000, 0.0000)
Sn (0.5000, 0.0000, 0.6335)
Sn (0.0000, 0.5000, 0.3665)
Hg (0.0000, 0.0000, 0.5000)
Hg (0.5000, 0.0000, 0.8721)
Hg (0.0000, 0.5000, 0.1279)
Bi (0.5000, 0.5000, 0.5000)

---

5.
LaTi2C: optimized geometry, PBE.

Computed properties:
Energy of formation from the pure elements (eV/atom): 0.17
M_tot (μB per formula unit): 0.85
E_tot (Ry per atom): -0.5374
V (Å³/cell): 183.3

a = 6.3755 Å, b = 6.3755 Å, c = 6.3768 Å
α = 60.01°, β = 60.01°, γ = 90.00°
Last column: magnetic moment on the atom in μB.
Fractional positions:
C (0.5000, 0.5000, 0.0000)  -0.02
C (0.2500, 0.7500, 0.5000)  -0.02
Ti (0.3743, 0.1250, 0.2500)  0.25
Ti (0.3757, 0.6250, 0.2500)  0.26
Ti (0.3750, 0.6257, 0.7500)  0.27
Ti (0.8750, 0.6243, 0.7500)  0.28
La (0.0000, 0.0000, 0.0000)  0.06
La (0.7500, 0.2500, 0.5000)  0.06

---

- Which formula does entry 5 have?
  LaTi2C

---

- Among the records above, which one has the highest M_tot?
  K4Ce3AgS8

---

- The highest M_tot belongs to which entry?
  K4Ce3AgS8